[1]
Here is a geometry-optimized K2DyAgCl6 structure from Alexandria. Energies are from PBE.

Calculated values
Density (g cm⁻³): 3.0
ΔE to the lowest computed polymorph (meV per atom): 41
Formation energy from raw total energies (eV/atom): -1.78

Cell lengths 7.567, 7.567, 7.567 Å; angles 60.00, 60.00, 60.00 degrees
Atoms (fractional coordinates):
K  0.750  0.750  0.750
K  0.250  0.250  0.250
Dy  0.000  0.000  0.000
Ag  0.500  0.500  0.500
Cl  0.755  0.245  0.245
Cl  0.245  0.245  0.755
Cl  0.245  0.755  0.755
Cl  0.245  0.755  0.245
Cl  0.755  0.245  0.755
Cl  0.755  0.755  0.245

=====

[2]
Here is a geometry-optimized BaCeH2F8 structure from Alexandria. Energies are from PBE.

Calculated values
Density (g cm⁻³): 4.3
Uncorrected energy (eV per atom): -5.409

Cell lengths 4.322, 4.358, 9.701 Å; angles 85.70, 86.62, 66.57 degrees
Last column: magnetic moment on the atom in μB.
Atoms (fractional coordinates):
Ba  0.000  0.000  0.500  0.00
Ce  0.000  0.000  0.000  0.30
H  0.503  0.520  0.792  0.00
H  0.497  0.480  0.208  0.00
F  0.234  0.731  0.200  0.00
F  0.694  0.697  0.997  -0.01
F  0.721  0.249  0.208  0.00
F  0.766  0.269  0.800  0.00
F  0.306  0.303  0.003  -0.01
F  0.279  0.751  0.792  0.00
F  0.664  0.669  0.430  0.10
F  0.336  0.331  0.570  0.10

=====

[3]
Here is a geometry-optimized Sm2GaAg structure from Alexandria. Energies are from PBE.

Calculated values
Density (g cm⁻³): 7.3
Energy of formation from the pure elements (eV/atom): -0.2183

Cell lengths 3.726, 3.726, 9.247 Å; angles 78.38, 78.38, 60.00 degrees
Atoms (fractional coordinates):
Ga  0.000  0.000  0.000
Ag  0.500  0.500  0.500
Sm  0.747  0.747  0.760
Sm  0.253  0.253  0.240

=====

[4]
Here is a geometry-optimized Pm2Er6Al structure from Alexandria. Energies are from PBE.

Calculated values
Density (g cm⁻³): 7.8
Energy of formation from the pure elements (eV/atom): 0.0712

Cell lengths 3.479, 9.304, 9.810 Å; angles 118.31, 89.98, 90.00 degrees
Atoms (fractional coordinates):
Pm  0.500  0.678  0.356
Pm  0.500  0.322  0.644
Er  0.001  0.333  0.322
Er  0.999  0.011  0.678
Er  0.999  0.667  0.678
Er  0.500  0.285  0.000
Er  0.001  0.989  0.322
Er  0.500  0.715  0.000
Al  0.000  0.000  0.000

=====

[5]
Here is a geometry-optimized In2AuCl structure from Alexandria. Energies are from PBE.

Calculated values
Density (g cm⁻³): 7.7
ΔE to the lowest computed polymorph (meV per atom): 128
Formation energy from raw total energies (eV/atom): -0.31

Cell lengths 5.200, 5.200, 5.200 Å; angles 60.00, 60.00, 60.00 degrees
Atoms (fractional coordinates):
Cl  0.000  0.000  0.000
Au  0.500  0.500  0.500
In  0.250  0.250  0.250
In  0.750  0.750  0.750

=====

[6]
Here is a geometry-optimized Er2TmAg4 structure from Alexandria. Energies are from PBE.

Calculated values
Density (g cm⁻³): 8.8
Energy of formation from the pure elements (eV/atom): -0.1056

Cell lengths 6.126, 6.126, 6.126 Å; angles 109.27, 109.57, 109.57 degrees
Atoms (fractional coordinates):
Tm  0.000  0.000  0.000
Ag  0.500  0.000  0.000
Ag  0.500  0.500  0.500
Ag  0.000  0.000  0.500
Ag  0.000  0.500  0.000
Er  0.500  0.500  0.000
Er  0.500  0.000  0.500